# 1
12
Lattice="2.502 -7.535 0.000 2.502 7.535 0.000 0.000 0.000 10.021" Properties=species:S:1:pos:R:3 comment="PmY6Tm5 | Alexandria via LeMat-Bulk | PBE-GGA | relaxed" m_tot_mub_per_cell=0.000 formation_energy_ev_per_fu=0.3 pbc="T T T"
Pm 0.000 0.000 0.000
Y 2.502 5.020 2.521
Y 2.502 5.020 7.500
Y 2.502 0.000 2.524
Y 2.502 0.000 7.496
Y 2.502 -5.020 2.521
Y 2.502 -5.020 7.500
Tm 0.000 0.000 5.010
Tm 2.502 2.529 0.000
Tm 2.502 2.511 5.010
Tm 2.502 -2.511 5.010
Tm 2.502 -2.529 0.000

***

# 2
15
Lattice="-4.836 4.836 5.183 4.836 -4.836 5.183 4.836 4.836 -5.183" Properties=species:S:1:pos:R:3 comment="PmY4Tm10 | Alexandria via LeMat-Bulk | PBE-GGA | relaxed" m_tot_mub_per_cell=0.000 formation_energy_ev_per_fu=5.4 pbc="T T T"
Pm 0.000 0.000 0.000
Y 6.436 0.693 0.000
Y 0.693 3.236 0.000
Y 4.143 1.600 5.183
Y -1.600 4.143 5.183
Tm 3.761 2.772 -1.665
Tm 2.064 -1.075 3.518
Tm 4.836 0.000 2.592
Tm 3.761 2.772 1.665
Tm 2.772 5.911 -1.665
Tm 2.064 -1.075 6.848
Tm 1.075 2.064 3.518
Tm 0.000 4.836 2.592
Tm 2.772 5.911 1.665
Tm 1.075 2.064 6.848

***

# 3
14
Lattice="6.098 0.000 0.000 2.540 8.040 0.000 1.866 -0.314 9.377" Properties=species:S:1:pos:R:3 comment="Pm2Y4Tm | Alexandria via LeMat-Bulk | PBE-GGA | relaxed" m_tot_mub_per_cell=0.000 formation_energy_ev_per_fu=0.5 pbc="T T T"
Pm 0.000 0.000 0.000
Pm 2.984 7.004 3.284
Pm 3.120 3.782 4.586
Pm 2.874 0.178 5.926
Y 2.652 1.118 2.499
Y 5.236 4.796 7.238
Y 5.061 1.410 8.493
Y 5.450 6.208 0.570
Y 6.175 5.440 3.898
Y 5.422 2.873 1.798
Y 6.081 1.933 5.111
Y 8.375 6.507 6.651
Tm 2.344 4.417 1.148
Tm 8.188 3.101 7.888